[1]
! CoTcP | Alexandria via LeMat-Bulk | PBE-GGA | relaxed; values from VASP
! Formation energy from the elements: -0.47 eV/atom
&SYSTEM
  ibrav = 0, nat = 6, ntyp = 3
/
ATOMIC_SPECIES
Co 58.93 Co.upf
Tc 98.00 Tc.upf
P 30.97 P.upf
ATOMIC_POSITIONS crystal
Co 0.750 0.250 0.000
Co 0.250 0.750 0.000
Tc 0.250 0.250 0.362
Tc 0.750 0.750 0.638
P 0.750 0.750 0.241
P 0.250 0.250 0.759
CELL_PARAMETERS angstrom
3.552 -0.174 0.056
0.173 3.552 0.056
-0.095 -0.086 5.744



[2]
VH2AuN after structural relaxation, computed with PBE-GGA. Values from VASP.

Quantum ESPRESSO input file:
```
&SYSTEM
  ibrav = 0, nat = 10, ntyp = 4
/
ATOMIC_SPECIES
V 50.94 V.upf
H 1.01 H.upf
Au 196.97 Au.upf
N 14.01 N.upf
ATOMIC_POSITIONS crystal
V 0.688 0.000 0.911
V 0.688 0.500 0.411
H 0.583 0.000 0.242
H 0.583 0.500 0.742
H 0.979 0.000 0.582
H 0.979 0.500 0.082
Au 0.316 0.000 0.574
Au 0.316 0.500 0.074
N 0.839 0.000 0.580
N 0.839 0.500 0.080
CELL_PARAMETERS angstrom
7.413 0.000 -0.001
0.000 2.822 0.000
-0.047 0.000 4.908
```



[3]
! Ti7Co2Ir2 | Alexandria via LeMat-Bulk | PBE-GGA | relaxed; values from VASP
! Formation energy from the elements: -0.20 eV/atom
&SYSTEM
  ibrav = 0, nat = 11, ntyp = 3
/
ATOMIC_SPECIES
Ti 47.87 Ti.upf
Co 58.93 Co.upf
Ir 192.22 Ir.upf
ATOMIC_POSITIONS crystal
Ti 0.000 0.259 0.500
Ti 0.500 0.741 0.000
Ti 0.000 0.741 0.500
Ti 0.500 0.259 0.000
Ti 0.000 0.000 0.000
Ti 0.500 0.747 0.500
Ti 0.500 0.253 0.500
Co 0.712 0.000 0.288
Co 0.288 0.000 0.712
Ir 0.809 0.500 0.809
Ir 0.191 0.500 0.191
CELL_PARAMETERS angstrom
5.645 -0.002 -0.585
0.003 5.927 0.002
-0.936 -0.002 5.598



[4]
! Sm6TeIr2Se3 | Alexandria via LeMat-Bulk | PBE-GGA | relaxed; values from VASP
! Uncorrected formation energy: -1.366 eV/atom
&SYSTEM
  ibrav = 0, nat = 12, ntyp = 4
/
ATOMIC_SPECIES
Sm 150.36 Sm.upf
Te 127.60 Te.upf
Ir 192.22 Ir.upf
Se 78.96 Se.upf
ATOMIC_POSITIONS crystal
Sm 0.324 0.881 0.648
Sm 0.673 0.576 0.345
Sm 0.676 0.119 0.352
Sm 0.013 0.271 0.027
Sm 0.987 0.729 0.973
Sm 0.327 0.424 0.655
Te 0.500 0.000 0.000
Ir 0.830 0.659 0.661
Ir 0.170 0.341 0.339
Se 0.500 0.500 0.000
Se 0.841 0.158 0.683
Se 0.159 0.842 0.317
CELL_PARAMETERS angstrom
-3.114 -2.734 -0.044
4.987 -5.748 4.234
-2.778 6.197 6.675



[5]
! Sr2CrCo | Alexandria via LeMat-Bulk | PBE-GGA | relaxed; values from VASP
! Formation energy from the elements: 0.76 eV/atom
&SYSTEM
  ibrav = 0, nat = 4, ntyp = 3
/
ATOMIC_SPECIES
Sr 87.62 Sr.upf
Co 58.93 Co.upf
Cr 52.00 Cr.upf
ATOMIC_POSITIONS crystal
Sr 0.250 0.250 0.250
Sr 0.750 0.750 0.750
Co 0.500 0.500 0.500
Cr 0.000 0.000 0.000
CELL_PARAMETERS angstrom
3.365 -4.131 0.833
-1.223 -4.898 -1.896
2.797 -2.073 -4.119



[6]
! SrCaAcLa | Alexandria via LeMat-Bulk | PBE-GGA | relaxed; values from VASP
! Formation energy from the elements: 0.03 eV/atom
&SYSTEM
  ibrav = 0, nat = 4, ntyp = 4
/
ATOMIC_SPECIES
Sr 87.62 Sr.upf
Ca 40.08 Ca.upf
Ac 227.00 Ac.upf
La 138.91 La.upf
ATOMIC_POSITIONS crystal
Sr 0.000 0.000 0.072
Ca 0.500 0.500 0.804
Ac 0.500 0.500 0.344
La 0.000 0.000 0.565
CELL_PARAMETERS angstrom
-3.464 1.837 -0.623
-1.922 -3.082 1.602
0.732 4.823 10.154



Number 1: uncorrected energy -0.5949 Ry/atom, size of the total moment 1.6 μB per cell. Number 2: uncorrected energy -0.4220 Ry/atom, size of the total moment 0.0 μB per cell. Number 3: uncorrected energy -0.5974 Ry/atom, size of the total moment 0.0 μB per cell. Number 4: uncorrected energy -0.4657 Ry/atom, size of the total moment 0.0 μB per cell. Number 5: uncorrected energy -0.3133 Ry/atom, size of the total moment 5.6 μB per cell. Number 6: uncorrected energy -0.2315 Ry/atom, size of the total moment 0.0 μB per cell.